No. 1
DFT (PBE) results for a geometry-optimized LaCdRe structure.

a = 4.829 Å, b = 4.829 Å, c = 4.829 Å
α = 60.00°, β = 60.00°, γ = 60.00°
Fractional coordinates of all 3 atoms:
Re  0.500  0.500  0.500
La  0.000  0.000  0.000
Cd  0.750  0.750  0.750

* distance to the lowest polymorph of the same formula: 47.0 kJ per mole of atoms

No. 2
DFT (PBE) results for a geometry-optimized La2CdRe structure.

a = 3.160 Å, b = 3.160 Å, c = 11.005 Å
α = 90.00°, β = 90.00°, γ = 113.85°
Fractional coordinates of all 4 atoms:
La  0.000  0.000  0.976
La  0.500  0.500  0.305
Re  0.000  0.000  0.507
Cd  0.500  0.500  0.713

* calculated total energy: -5.292 eV/atom

No. 3
DFT (PBE) results for a geometry-optimized La2CdRe structure.

a = 4.319 Å, b = 4.319 Å, c = 8.654 Å
α = 82.11°, β = 82.11°, γ = 47.87°
Fractional coordinates of all 4 atoms:
La  0.493  0.493  0.554
La  0.007  0.007  0.946
Re  0.750  0.750  0.750
Cd  0.250  0.250  0.250

* calculated total energy: -5.547 eV/atom

No. 4
DFT (PBE) results for a geometry-optimized LaCd2Re structure.

a = 5.202 Å, b = 3.103 Å, c = 5.634 Å
α = 73.78°, β = 90.00°, γ = 90.00°
Fractional coordinates of all 4 atoms:
La  0.500  0.250  0.250
Cd  0.000  0.895  0.975
Cd  0.000  0.605  0.525
Re  0.500  0.750  0.750

* distance to the lowest polymorph of the same formula: 2.8 kJ per mole of atoms

No. 5
DFT (PBE) results for a geometry-optimized La2CdRe structure.

a = 3.789 Å, b = 3.789 Å, c = 7.281 Å
α = 90.00°, β = 90.00°, γ = 90.00°
Fractional coordinates of all 4 atoms:
Re  0.000  0.000  0.550
Cd  0.500  0.500  0.711
La  0.000  0.000  0.941
La  0.500  0.500  0.298

* calculated total energy: -5.422 eV/atom

No. 6
DFT (PBE) results for a geometry-optimized La2CdRe structure.

a = 3.563 Å, b = 3.570 Å, c = 9.209 Å
α = 66.99°, β = 90.00°, γ = 90.00°
Fractional coordinates of all 4 atoms:
Re  0.500  0.250  0.250
Cd  0.500  0.750  0.750
La  0.000  0.546  0.456
La  0.000  0.954  0.044

* calculated total energy: -5.750 eV/atom

No. 7
DFT (PBE) results for a geometry-optimized La2CdRe structure.

a = 5.113 Å, b = 5.113 Å, c = 5.113 Å
α = 60.00°, β = 60.00°, γ = 60.00°
Fractional coordinates of all 4 atoms:
La  0.250  0.250  0.250
La  0.000  0.000  0.000
Cd  0.500  0.500  0.500
Re  0.750  0.750  0.750

* calculated total energy: -5.448 eV/atom

No. 8
DFT (PBE) results for a geometry-optimized LaCdRe structure.

a = 4.752 Å, b = 4.752 Å, c = 4.752 Å
α = 60.00°, β = 60.00°, γ = 60.00°
Fractional coordinates of all 3 atoms:
La  0.500  0.500  0.500
Re  0.750  0.750  0.750
Cd  0.000  0.000  0.000

* distance to the lowest polymorph of the same formula: 17.5 kJ per mole of atoms

No. 9
DFT (PBE) results for a geometry-optimized LaCdRe structure.

a = 6.887 Å, b = 6.887 Å, c = 6.887 Å
α = 152.38°, β = 152.38°, γ = 39.46°
Fractional coordinates of all 3 atoms:
La  0.314  0.314  0.000
Re  0.659  0.659  0.000
Cd  0.027  0.027  0.000

* distance to the lowest polymorph of the same formula: 2.1 kJ per mole of atoms

No. 10
DFT (PBE) results for a geometry-optimized LaCdRe structure.

a = 7.851 Å, b = 7.676 Å, c = 3.044 Å
α = 81.96°, β = 75.47°, γ = 22.58°
Fractional coordinates of all 3 atoms:
La  0.318  0.318  0.682
Cd  0.017  0.017  0.983
Re  0.665  0.665  0.335

* distance to the lowest polymorph of the same formula: 3.2 kJ per mole of atoms

No. 11
DFT (PBE) results for a geometry-optimized LaCd2Re structure.

a = 4.220 Å, b = 4.220 Å, c = 11.261 Å
α = 79.20°, β = 79.20°, γ = 90.00°
Fractional coordinates of all 8 atoms:
La  0.500  0.500  0.000
La  0.250  0.750  0.500
Cd  0.375  0.332  0.750
Cd  0.668  0.125  0.250
Cd  0.875  0.918  0.750
Cd  0.082  0.625  0.250
Re  0.000  0.000  0.000
Re  0.750  0.250  0.500

* distance to the lowest polymorph of the same formula: 29.8 kJ per mole of atoms

No. 12
DFT (PBE) results for a geometry-optimized LaCdRe structure.

a = 4.979 Å, b = 4.979 Å, c = 4.979 Å
α = 60.00°, β = 60.00°, γ = 60.00°
Fractional coordinates of all 3 atoms:
Cd  0.500  0.500  0.500
Re  0.000  0.000  0.000
La  0.750  0.750  0.750

* distance to the lowest polymorph of the same formula: 79.9 kJ per mole of atoms